The following is a DFT calculation (PBE) of an optimized crystal structure of DyLuPa.

Results
* excess energy over the best structure of this formula in the dataset: 3.5 kJ per mole of atoms
* V: 28.40 Å³ per atom
* energy of formation: 0.14 eV per atom
* uncorrected energy: -6.07 eV per atom

abc: 3.383 3.383 7.820
angles: 102.49 102.49 90.00
Sites, in units of the cell vectors:
Lu 0.626 0.626 0.251
Pa 0.282 0.282 0.564
Dy 0.942 0.942 0.884